Entry from the Alexandria database: a relaxed structure of Rb2LaI6Cl (PBE).

Unit cell a=9.611 b=9.611 c=11.566 alpha=90.00 beta=90.00 gamma=90.00
Space group I4/mmm (No. 139)
Inequivalent atoms, fractional coordinates:
Rb1 0.000 0.500 0.250 (multiplicity 4)
La1 0.000 0.000 0.000 (multiplicity 2)
I1 0.000 0.000 0.277 (multiplicity 4)
I2 0.229 0.229 0.000 (multiplicity 8)
Cl1 0.000 0.000 0.500 (multiplicity 2)

Results
- energy relative to the elements, uncorrected (meV/atom) = -1082.2